Entry from Alexandria: an optimized crystal structure of PmInPt3 (PBE-GGA).

## Properties
- Energy: -5.706 eV/atom
- Symmetry: Imma, No. 74
- Crystal system: orthorhombic
- Mass density: 13.622 g/cm³

Cell and atoms, written as extended XYZ:
```
10
Lattice="5.477 0.000 0.000 2.739 6.186 -0.939 2.739 -0.812 6.204" Properties=species:S:1:pos:R:3 pbc="T T T"
Pt 2.739 4.390 0.176
Pt 8.216 0.984 5.089
Pt 1.369 -0.406 3.102
In 5.477 1.196 1.467
Pm 2.739 2.687 2.632
Pt 5.477 1.609 4.451
Pm 2.739 0.000 0.000
In 5.477 4.178 3.798
Pt 4.108 -0.406 3.102
Pt 5.477 3.765 0.814
```